Entry from the Alexandria database: a relaxed Ca2MnSe crystal (PBE).

Cell and atoms, written as CIF:
```
data_Ca2MnSe
_chemical_formula_sum 'Ca2 Mn1 Se1'
_symmetry_space_group_name_H-M 'P 4 m m'
_symmetry_Int_Tables_number 99
_symmetry_space_group_name_Hall 'P 4 -2'
_cell_length_a 3.6075
_cell_length_b 3.6075
_cell_length_c 8.3926
_cell_angle_alpha 90.00
_cell_angle_beta 90.00
_cell_angle_gamma 90.00
loop_
_atom_site_label
_atom_site_type_symbol
_atom_site_fract_x
_atom_site_fract_y
_atom_site_fract_z
Ca1 Ca 0.0000 0.0000 0.0000
Ca2 Ca 0.5000 0.5000 0.3876
Mn1 Mn 0.0000 0.0000 0.6268
Se1 Se 0.5000 0.5000 0.7888
```

calculated total energy = -4.454 eV/atom

=====

Entry from the Alexandria database: a relaxed Ca2MnSe crystal (PBE).

Cell and atoms, written as CIF:
```
data_Ca2MnSe
_chemical_formula_sum 'Ca4 Mn2 Se2'
_symmetry_space_group_name_H-M 'I m m m'
_symmetry_Int_Tables_number 71
_symmetry_space_group_name_Hall '-I 2 2'
_cell_length_a 4.0641
_cell_length_b 5.6987
_cell_length_c 9.8476
_cell_angle_alpha 90.00
_cell_angle_beta 90.00
_cell_angle_gamma 90.00
loop_
_atom_site_label
_atom_site_type_symbol
_atom_site_fract_x
_atom_site_fract_y
_atom_site_fract_z
Ca1 Ca 0.0000 0.0000 0.2074
Mn1 Mn 0.0000 0.5000 0.0000
Se1 Se 0.0000 0.5000 0.5000
```

calculated total energy = -4.413 eV/atom

=====

Entry from the Alexandria database: a relaxed Ca2MnSe crystal (PBE).

Cell and atoms, written as CIF:
```
data_Ca2MnSe
_chemical_formula_sum 'Ca2 Mn1 Se1'
_symmetry_space_group_name_H-M 'P 1 2/m 1'
_symmetry_Int_Tables_number 10
_symmetry_space_group_name_Hall '-P 2y'
_cell_length_a 3.7060
_cell_length_b 3.7071
_cell_length_c 7.1485
_cell_angle_alpha 90.00
_cell_angle_beta 90.06
_cell_angle_gamma 90.00
loop_
_atom_site_label
_atom_site_type_symbol
_atom_site_fract_x
_atom_site_fract_y
_atom_site_fract_z
Ca1 Ca 0.9998 0.0000 0.2386
Mn1 Mn 0.5000 0.5000 0.5000
Se1 Se 0.5000 0.5000 0.0000
```

calculated total energy = -4.702 eV/atom

=====

Entry from the Alexandria database: a relaxed Ca2MnSe crystal (PBE).

Cell and atoms, written as CIF:
```
data_Ca2MnSe
_chemical_formula_sum 'Ca4 Mn2 Se2'
_symmetry_space_group_name_H-M 'I m m 2'
_symmetry_Int_Tables_number 44
_symmetry_space_group_name_Hall 'I 2 -2'
_cell_length_a 3.7016
_cell_length_b 4.7762
_cell_length_c 11.5665
_cell_angle_alpha 90.00
_cell_angle_beta 90.00
_cell_angle_gamma 90.00
loop_
_atom_site_label
_atom_site_type_symbol
_atom_site_fract_x
_atom_site_fract_y
_atom_site_fract_z
Ca1 Ca 0.0000 0.0000 0.0000
Ca2 Ca 0.0000 0.5000 0.2119
Mn1 Mn 0.0000 0.5000 0.7996
Se1 Se 0.0000 0.0000 0.4789
```

calculated total energy = -4.582 eV/atom

=====

Entry from the Alexandria database: a relaxed Ca4MnSe crystal (PBE).

Cell and atoms, written as CIF:
```
data_Ca4MnSe
_chemical_formula_sum 'Ca16 Mn4 Se4'
_symmetry_space_group_name_H-M 'F -4 3 m'
_symmetry_Int_Tables_number 216
_symmetry_space_group_name_Hall 'F -4 2 3'
_cell_length_a 9.3673
_cell_length_b 9.3673
_cell_length_c 9.3673
_cell_angle_alpha 90.00
_cell_angle_beta 90.00
_cell_angle_gamma 90.00
loop_
_atom_site_label
_atom_site_type_symbol
_atom_site_fract_x
_atom_site_fract_y
_atom_site_fract_z
Ca1 Ca 0.1244 0.1244 0.1244
Mn1 Mn 0.2500 0.2500 0.7500
Se1 Se 0.0000 0.0000 0.5000
```

calculated total energy = -3.030 eV/atom

=====

Entry from the Alexandria database: a relaxed CaMnSe2 crystal (PBE).

Cell and atoms, written as CIF:
```
data_CaMnSe2
_chemical_formula_sum 'Ca3 Mn3 Se6'
_symmetry_space_group_name_H-M 'R -3 m'
_symmetry_Int_Tables_number 166
_symmetry_space_group_name_Hall '-R 3 2"'
_cell_length_a 3.8658
_cell_length_b 3.8658
_cell_length_c 25.1139
_cell_angle_alpha 90.00
_cell_angle_beta 90.00
_cell_angle_gamma 120.00
loop_
_atom_site_label
_atom_site_type_symbol
_atom_site_fract_x
_atom_site_fract_y
_atom_site_fract_z
Ca1 Ca 0.0000 0.0000 0.0000
Mn1 Mn 0.0000 0.0000 0.5000
Se1 Se 0.0000 0.0000 0.1120
```

calculated total energy = -5.093 eV/atom
relative energy among the computed polymorphs = 603.9 meV per atom

=====

Entry from the Alexandria database: a relaxed CaMnSe3 crystal (PBE).

Cell and atoms, written as CIF:
```
data_CaMnSe3
_chemical_formula_sum 'Ca1 Mn1 Se3'
_symmetry_space_group_name_H-M 'P m -3 m'
_symmetry_Int_Tables_number 221
_symmetry_space_group_name_Hall '-P 4 2 3'
_cell_length_a 4.9170
_cell_length_b 4.9170
_cell_length_c 4.9170
_cell_angle_alpha 90.00
_cell_angle_beta 90.00
_cell_angle_gamma 90.00
loop_
_atom_site_label
_atom_site_type_symbol
_atom_site_fract_x
_atom_site_fract_y
_atom_site_fract_z
Ca1 Ca 0.0000 0.0000 0.0000
Mn1 Mn 0.5000 0.5000 0.5000
Se1 Se 0.0000 0.5000 0.5000
```

calculated total energy = -5.050 eV/atom
relative energy among the computed polymorphs = 0.0 meV per atom

=====

Entry from the Alexandria database: a relaxed CaMnSe2 crystal (PBE).

Cell and atoms, written as CIF:
```
data_CaMnSe2
_chemical_formula_sum 'Ca1 Mn1 Se2'
_symmetry_space_group_name_H-M 'P 1 2/m 1'
_symmetry_Int_Tables_number 10
_symmetry_space_group_name_Hall '-P 2y'
_cell_length_a 3.8814
_cell_length_b 3.6134
_cell_length_c 6.9902
_cell_angle_alpha 90.00
_cell_angle_beta 91.32
_cell_angle_gamma 90.00
loop_
_atom_site_label
_atom_site_type_symbol
_atom_site_fract_x
_atom_site_fract_y
_atom_site_fract_z
Ca1 Ca 0.0000 0.0000 0.0000
Mn1 Mn 0.5000 0.0000 0.5000
Se1 Se 0.4931 0.5000 0.7582
```

calculated total energy = -5.465 eV/atom
relative energy among the computed polymorphs = 231.7 meV per atom

=====

Entry from the Alexandria database: a relaxed CaMnSe2 crystal (PBE).

Cell and atoms, written as CIF:
```
data_CaMnSe2
_chemical_formula_sum 'Ca4 Mn4 Se8'
_symmetry_space_group_name_H-M 'F m -3 m'
_symmetry_Int_Tables_number 225
_symmetry_space_group_name_Hall '-F 4 2 3'
_cell_length_a 6.6631
_cell_length_b 6.6631
_cell_length_c 6.6631
_cell_angle_alpha 90.00
_cell_angle_beta 90.00
_cell_angle_gamma 90.00
loop_
_atom_site_label
_atom_site_type_symbol
_atom_site_fract_x
_atom_site_fract_y
_atom_site_fract_z
Ca1 Ca 0.0000 0.0000 0.0000
Mn1 Mn 0.0000 0.0000 0.5000
Se1 Se 0.2500 0.2500 0.2500
```

calculated total energy = -4.849 eV/atom
relative energy among the computed polymorphs = 848.3 meV per atom

=====

Entry from the Alexandria database: a relaxed CaMnSe2 crystal (PBE).

Cell and atoms, written as CIF:
```
data_CaMnSe2
_chemical_formula_sum 'Ca3 Mn3 Se6'
_symmetry_space_group_name_H-M 'R -3 m'
_symmetry_Int_Tables_number 166
_symmetry_space_group_name_Hall '-R 3 2"'
_cell_length_a 4.4804
_cell_length_b 4.4804
_cell_length_c 23.0271
_cell_angle_alpha 90.00
_cell_angle_beta 90.00
_cell_angle_gamma 120.00
loop_
_atom_site_label
_atom_site_type_symbol
_atom_site_fract_x
_atom_site_fract_y
_atom_site_fract_z
Ca1 Ca 0.0000 0.0000 0.0000
Mn1 Mn 0.0000 0.0000 0.5000
Se1 Se 0.0000 0.0000 0.3983
```

calculated total energy = -5.387 eV/atom
relative energy among the computed polymorphs = 310.1 meV per atom

=====

Entry from the Alexandria database: a relaxed CaMnSe3 crystal (PBE).

Cell and atoms, written as CIF:
```
data_CaMnSe3
_chemical_formula_sum 'Ca1 Mn1 Se3'
_symmetry_space_group_name_H-M 'P m -3 m'
_symmetry_Int_Tables_number 221
_symmetry_space_group_name_Hall '-P 4 2 3'
_cell_length_a 5.3934
_cell_length_b 5.3934
_cell_length_c 5.3934
_cell_angle_alpha 90.00
_cell_angle_beta 90.00
_cell_angle_gamma 90.00
loop_
_atom_site_label
_atom_site_type_symbol
_atom_site_fract_x
_atom_site_fract_y
_atom_site_fract_z
Ca1 Ca 0.0000 0.0000 0.0000
Mn1 Mn 0.5000 0.5000 0.5000
Se1 Se 0.0000 0.0000 0.5000
```

calculated total energy = -4.087 eV/atom
relative energy among the computed polymorphs = 962.9 meV per atom

=====

Entry from the Alexandria database: a relaxed CaMnSe2 crystal (PBE).

Cell and atoms, written as CIF:
```
data_CaMnSe2
_chemical_formula_sum 'Ca3 Mn3 Se6'
_symmetry_space_group_name_H-M 'R -3 m'
_symmetry_Int_Tables_number 166
_symmetry_space_group_name_Hall '-R 3 2"'
_cell_length_a 4.0497
_cell_length_b 4.0497
_cell_length_c 19.6207
_cell_angle_alpha 90.00
_cell_angle_beta 90.00
_cell_angle_gamma 120.00
loop_
_atom_site_label
_atom_site_type_symbol
_atom_site_fract_x
_atom_site_fract_y
_atom_site_fract_z
Ca1 Ca 0.0000 0.0000 0.0000
Mn1 Mn 0.0000 0.0000 0.5000
Se1 Se 0.0000 0.0000 0.2419
```

calculated total energy = -5.697 eV/atom
relative energy among the computed polymorphs = 0.0 meV per atom

=====

Entry from the Alexandria database: a relaxed Ca3MnSe crystal (PBE).

Cell and atoms, written as CIF:
```
data_Ca3MnSe
_chemical_formula_sum 'Ca3 Mn1 Se1'
_symmetry_space_group_name_H-M 'P m -3 m'
_symmetry_Int_Tables_number 221
_symmetry_space_group_name_Hall '-P 4 2 3'
_cell_length_a 5.3316
_cell_length_b 5.3316
_cell_length_c 5.3316
_cell_angle_alpha 90.00
_cell_angle_beta 90.00
_cell_angle_gamma 90.00
loop_
_atom_site_label
_atom_site_type_symbol
_atom_site_fract_x
_atom_site_fract_y
_atom_site_fract_z
Ca1 Ca 0.0000 0.0000 0.5000
Mn1 Mn 0.0000 0.0000 0.0000
Se1 Se 0.5000 0.5000 0.5000
```

calculated total energy = -3.574 eV/atom
relative energy among the computed polymorphs = 431.5 meV per atom

=====

Entry from the Alexandria database: a relaxed CaMnSe2 crystal (PBE).

Cell and atoms, written as CIF:
```
data_CaMnSe2
_chemical_formula_sum 'Ca4 Mn4 Se8'
_symmetry_space_group_name_H-M 'F -4 3 m'
_symmetry_Int_Tables_number 216
_symmetry_space_group_name_Hall 'F -4 2 3'
_cell_length_a 7.0654
_cell_length_b 7.0654
_cell_length_c 7.0654
_cell_angle_alpha 90.00
_cell_angle_beta 90.00
_cell_angle_gamma 90.00
loop_
_atom_site_label
_atom_site_type_symbol
_atom_site_fract_x
_atom_site_fract_y
_atom_site_fract_z
Ca1 Ca 0.0000 0.0000 0.0000
Mn1 Mn 0.2500 0.2500 0.2500
Se1 Se 0.0000 0.0000 0.5000
Se2 Se 0.2500 0.2500 0.7500
```

calculated total energy = -4.687 eV/atom
relative energy among the computed polymorphs = 1010.2 meV per atom

=====

| no. | density (g/cm3) |
| --- | --- |
| 1 | 3.3 |
| 2 | 3.1 |
| 3 | 3.6 |
| 4 | 3.5 |
| 5 | 2.4 |
| 6 | 3.9 |
| 7 | 4.6 |
| 8 | 4.3 |
| 9 | 5.7 |
| 10 | 3.1 |
| 11 | 3.5 |
| 12 | 4.5 |
| 13 | 2.8 |
| 14 | 4.8 |